Record 1
First-principles (PBE) data for ScCoBH2 after structural relaxation, as listed in Alexandria via LeMat-Bulk.

a = 3.4063 Å, b = 3.4063 Å, c = 3.7820 Å
α = 90.00°, β = 90.00°, γ = 90.00°
Space group P4/mmm (No. 123)
One atom of each set of equivalent atoms:
Sc (0.0000, 0.0000, 0.0000) x1
Co (0.5000, 0.5000, 0.5000) x1
B (0.5000, 0.5000, 0.0000) x1
H (0.0000, 0.5000, 0.5000) x2

Computed properties:
- DOS(E_F): 2.63 states/eV per cell
- Total moment: 0.00 μB per atom
- Total DFT energy (no corrections): -0.205 hartree per atom

***

Record 2
First-principles (PBE) data for Cr2InCu after structural relaxation, as listed in Alexandria via LeMat-Bulk.

a = 2.7270 Å, b = 2.7270 Å, c = 7.6551 Å
α = 90.00°, β = 90.00°, γ = 90.00°
Space group P4/mmm (No. 123)
One atom of each set of equivalent atoms:
Cr (0.0000, 0.0000, 0.2210) x2
In (0.5000, 0.5000, 0.5000) x1
Cu (0.5000, 0.5000, 0.0000) x1

Computed properties:
- DOS(E_F): 5.23 states/eV per cell
- Energy of formation: 0.5986 eV per atom
- Total moment: 0.24 μB per atom

***

Question: Which value of DOS(E_F) does entry 1 give?
Answer: 2.63 states/eV per cell